Here is a relaxed structure of PtRh2Br from Alexandria via LeMat-Bulk. Energies are from PBE.

The structure in CIF format:
```
data_PtRh2Br
_cell_length_a 6.369
_cell_length_b 6.369
_cell_length_c 6.369
_cell_angle_alpha 90.00
_cell_angle_beta 90.00
_cell_angle_gamma 90.00
_space_group_name_H-M_alt 'F m -3 m'
_space_group_IT_number 225
_space_group_name_Hall '-F 4 2 3'
loop_
_atom_site_label
_atom_site_type_symbol
_atom_site_fract_x
_atom_site_fract_y
_atom_site_fract_z
Pt1 Pt 0.000 0.000 0.000
Rh1 Rh 0.250 0.250 0.250
Br1 Br 0.000 0.000 0.500
```

Summary:
- Formation energy from raw total energies: 629 meV/atom
- N(E_F): 26.41 states/eV per cell
- Calculated total energy: -0.3657 Ry/atom
- Magnetic moment: 0.8 μB per formula unit